1.
The following is a PBE-GGA calculation of a geometry-optimized ScTi2CuC structure, from the Alexandria database.

Cell and atoms, written as POSCAR:
```
ScTi2CuC
1.0
4.1625 0.0000 0.0000
0.0000 4.1625 0.0000
0.0000 0.0000 4.4319
Sc Ti Cu C
1 2 1 1
Cartesian
0.0000 0.0000 0.0000
0.0000 2.0812 2.2159
2.0812 0.0000 2.2159
2.0812 2.0812 0.0000
0.0000 0.0000 2.2159
```

DOS at the Fermi energy: 7.01 states/eV/cell
Formation enthalpy at 0 K: -292 meV per atom
Energy above the most stable polymorph in this dataset: 0.000 eV per formula unit
Calculated density: 4.68 g/cm³

2.
The following is a PBE-GGA calculation of a geometry-optimized USbAs structure, from the Alexandria database.

Cell and atoms, written as POSCAR:
```
USbAs
1.0
4.7317 0.0000 0.0000
-2.3658 4.0978 0.0000
0.0000 0.0000 3.9044
U Sb As
1 1 1
Cartesian
0.0000 0.0000 0.0000
2.3658 1.3659 1.9522
0.0000 2.7318 0.0000
```

Formation energy without anion corrections: -0.079 eV per atom
DOS at the Fermi energy: 6.77 states/eV/cell
Energy above the most stable polymorph in this dataset: 1.288 eV per formula unit
Calculated density: 9.54 g/cm³

3.
The following is a PBE-GGA calculation of a geometry-optimized LaMg2Tl structure, from the Alexandria database.

Cell and atoms, written as POSCAR:
```
LaMg2Tl
1.0
3.6682 0.0000 0.0000
0.0000 3.6682 0.0000
0.0000 0.0000 8.0655
La Mg Tl
1 2 1
Cartesian
0.0000 0.0000 0.0000
0.0000 0.0000 4.0852
1.8341 1.8341 2.3546
1.8341 1.8341 5.7944
```

DOS at the Fermi energy: 3.10 states/eV/cell
Formation enthalpy at 0 K: -163 meV per atom
Energy above the most stable polymorph in this dataset: 0.248 eV per formula unit
Calculated density: 6.00 g/cm³

4.
The following is a PBE-GGA calculation of a geometry-optimized CaBe2Hg2 structure, from the Alexandria database.

Cell and atoms, written as POSCAR:
```
CaBe2Hg2
1.0
-2.1349 2.1349 5.3006
2.1349 -2.1349 5.3006
2.1349 2.1349 -5.3006
Ca Be Hg
1 2 2
Cartesian
0.0000 0.0000 0.0000
2.1349 0.0000 2.6503
0.0000 2.1349 2.6503
0.0000 0.0000 3.8338
0.0000 0.0000 6.7674
```

DOS at the Fermi energy: 2.19 states/eV/cell
Formation enthalpy at 0 K: 19 meV per atom
Calculated density: 7.89 g/cm³

5.
The following is a PBE-GGA calculation of a geometry-optimized MgScVNi structure, from the Alexandria database.

Cell and atoms, written as POSCAR:
```
MgScVNi
1.0
-1.6293 2.2476 4.5746
1.6293 -2.2476 4.5746
1.6293 2.2476 -4.5746
Mg Sc V Ni
1 1 1 1
Cartesian
0.0000 0.0000 0.0000
1.6293 0.0000 2.5724
0.0000 2.2476 2.0612
0.0000 0.0000 4.7915
```

DOS at the Fermi energy: 5.56 states/eV/cell
Formation enthalpy at 0 K: 86 meV per atom
Energy above the most stable polymorph in this dataset: 0.230 eV per formula unit
Calculated density: 4.43 g/cm³

6.
The following is a PBE-GGA calculation of a geometry-optimized Rb2PbSN structure, from the Alexandria database.

Cell and atoms, written as POSCAR:
```
Rb2PbSN
1.0
6.3188 0.0000 0.0000
0.0000 6.3188 0.0000
0.0000 0.0000 5.5978
Rb Pb S N
2 1 1 1
Cartesian
0.0000 3.1594 0.0000
3.1594 0.0000 0.0000
0.0000 0.0000 2.7989
0.0000 0.0000 0.0000
3.1594 3.1594 2.7989
```

Formation energy without anion corrections: 0.548 eV per atom
DOS at the Fermi energy: 0.57 states/eV/cell
Calculated density: 3.15 g/cm³

7.
The following is a PBE-GGA calculation of a geometry-optimized SrTbTm2 structure, from the Alexandria database.

Cell and atoms, written as POSCAR:
```
SrTbTm2
1.0
1.7886 1.0326 12.6633
-1.7886 1.0326 12.6633
0.0000 -2.0653 12.6633
Sr Tb Tm
1 1 2
Cartesian
0.0000 0.0000 0.0000
0.0000 0.0000 18.9950
0.0000 0.0000 3.5388
0.0000 0.0000 34.4511
```

DOS at the Fermi energy: 5.27 states/eV/cell
Formation enthalpy at 0 K: 243 meV per atom
Energy above the most stable polymorph in this dataset: 0.410 eV per formula unit
Calculated density: 6.92 g/cm³

8.
The following is a PBE-GGA calculation of a geometry-optimized Tl2Cu2Bi structure, from the Alexandria database.

Cell and atoms, written as POSCAR:
```
Tl2Cu2Bi
1.0
7.2622 0.0000 0.0000
0.0000 7.2622 0.0000
0.0000 0.0000 4.3527
Tl Cu Bi
4 4 2
Cartesian
1.2106 2.4205 0.0000
2.4205 6.0516 0.0000
4.8417 1.2106 0.0000
6.0516 4.8417 0.0000
0.8881 4.5192 2.1763
2.7430 0.8881 2.1763
4.5192 6.3741 2.1763
6.3741 2.7430 2.1763
0.0000 0.0000 2.1763
3.6311 3.6311 2.1763
```

DOS at the Fermi energy: 5.09 states/eV/cell
Formation enthalpy at 0 K: 223 meV per atom
Energy above the most stable polymorph in this dataset: 0.074 eV per formula unit
Calculated density: 10.78 g/cm³

9.
The following is a PBE-GGA calculation of a geometry-optimized Ca2LaSi structure, from the Alexandria database.

Cell and atoms, written as POSCAR:
```
Ca2LaSi
1.0
3.5317 0.0000 0.0000
0.0000 3.5317 0.0000
0.0000 0.0000 9.8960
Ca La Si
2 1 1
Cartesian
0.0000 0.0000 1.8144
0.0000 0.0000 8.0816
1.7658 1.7658 4.9480
1.7658 1.7658 0.0000
```

Formation energy without anion corrections: -0.140 eV per atom
DOS at the Fermi energy: 1.72 states/eV/cell
Calculated density: 3.32 g/cm³